Al2CdAs: relaxed, PBEsol.

Calculated values
VASP energy ... -27.3 eV/cell
ΔH_f (0 K) ... 0.849 eV per formula unit
D(E_F) ... 0.4932 states/eV per atom

Cell: 6.4336 6.6099 6.4336 Å, 60.88 90.00 119.12°
With the nearest neighbours (Å) after each atom.
Fractional positions:
As: 0.2500 0.5000 0.2500  4 Al 2.46
As: 0.5000 0.0000 0.5000  4 Al 2.46
Al: 0.5975 0.7500 0.3750  2 As 2.46, 2 Cd 2.69
Al: 0.1525 0.7500 0.8750  2 As 2.46, 2 Cd 2.69
Al: 0.8750 0.2500 0.5975  2 As 2.46, 2 Cd 2.69
Al: 0.3750 0.2500 0.1525  2 As 2.46, 2 Cd 2.69
Cd: 0.7500 0.5000 0.7500  4 Al 2.69
Cd: 0.0000 0.0000 0.0000  4 Al 2.69